No. 1
A relaxed Ac4Ni3Ru crystal. Source: Alexandria, functional PBE.

total energy	-44.75	eV for the cell shown
Fermi-level density of states	5.97	states/eV per cell
symmetry	No. 25
total magnetization	0.000	μB/cell

Geometry as POSCAR:
```
Ac4Ni3Ru
1.0
-3.074 -1.905 -1.959
2.744 -2.926 -1.460
-1.977 -6.611 9.529
Ac Ni Ru
4 3 1
Cartesian
-2.790 -5.142 5.060 Ac
-0.343 -7.198 7.537 Ac
-0.270 -0.903 1.301 Ac
-0.876 -4.794 1.718 Ac
-0.863 -2.886 4.160 Ni
-3.376 -7.101 7.884 Ni
0.258 -5.188 4.639 Ni
-0.307 -2.893 -1.022 Ru
```

***

No. 2
A relaxed Tl6Cd2Pb crystal. Source: Alexandria, functional PBE.

total energy	-19.53	eV for the cell shown
Fermi-level density of states	4.50	states/eV per cell
energy relative to the lowest polymorph listed for this composition	0.0	meV per atom
symmetry	No. 187
total magnetization	0.000	μB/cell

Geometry as POSCAR:
```
Tl6Cd2Pb
1.0
-1.440 0.359 -3.153
-1.365 -2.240 2.294
-15.041 18.340 8.957
Tl Cd Pb
6 2 1
Cartesian
-3.145 1.603 -0.307 Tl
-7.958 6.636 4.390 Tl
-14.725 15.723 6.589 Tl
-12.966 12.742 7.372 Tl
-4.854 2.851 2.541 Tl
-9.862 8.957 5.524 Tl
-6.429 5.607 1.649 Cd
-11.441 11.718 4.633 Cd
-1.390 -1.373 0.478 Pb
```

***

No. 3
A relaxed LaCoRu crystal. Source: Alexandria, functional PBE.

total energy	-20.13	eV for the cell shown
Fermi-level density of states	3.88	states/eV per cell
symmetry	No. 216
total magnetization	1.956	μB/cell

Geometry as POSCAR:
```
LaCoRu
1.0
4.476 0.000 0.000
2.238 3.876 0.000
2.238 1.292 3.655
La Co Ru
1 1 1
Cartesian
4.476 2.584 1.827 La
0.000 0.000 0.000 Co
6.714 3.876 2.741 Ru
```

***

No. 4
A relaxed CsHoGe2Cl8 crystal. Source: Alexandria, functional PBE.

total energy	-47.42	eV for the cell shown
Fermi-level density of states	0.00	states/eV per cell
symmetry	No. 2
total magnetization	0.000	μB/cell
uncorrected formation energy	-17.98	eV/f.u.

Geometry as POSCAR:
```
CsHoGe2Cl8
1.0
7.447 0.936 -0.281
1.017 6.265 -0.309
-0.426 -0.492 9.375
Ge Cl Cs Ho
2 8 1 1
Cartesian
2.609 2.449 7.480 Ge
5.429 4.261 1.304 Ge
1.695 0.136 7.826 Cl
7.709 3.068 1.265 Cl
2.613 5.052 1.334 Cl
0.329 3.642 7.519 Cl
2.521 2.306 5.218 Cl
6.342 6.573 0.958 Cl
5.425 1.657 7.451 Cl
5.516 4.403 3.566 Cl
-0.213 -0.246 4.687 Cs
0.000 0.000 0.000 Ho
```

***

No. 5
A relaxed PaAg3Se4 crystal. Source: Alexandria, functional PBE.

total energy	-73.18	eV for the cell shown
energy relative to the lowest polymorph listed for this composition	0.0	meV per atom
symmetry	No. 13
total magnetization	0.000	μB/cell
uncorrected formation energy	-4.60	eV/f.u.

Geometry as POSCAR:
```
PaAg3Se4
1.0
6.802 1.153 0.000
-1.288 6.367 0.000
0.000 0.000 9.426
Ag Pa Se
6 2 8
Cartesian
1.056 3.472 6.980 Ag
4.457 4.048 5.550 Ag
1.700 0.288 4.857 Ag
5.101 0.865 4.569 Ag
1.056 3.472 3.876 Ag
4.457 4.048 2.446 Ag
5.101 0.865 8.234 Pa
1.700 0.288 1.192 Pa
2.844 5.481 0.746 Se
2.989 1.955 3.144 Se
6.390 2.532 6.282 Se
-0.876 4.989 3.144 Se
2.525 5.565 6.282 Se
6.071 2.615 0.746 Se
2.670 2.039 8.680 Se
-0.557 4.905 8.680 Se
```

***

No. 6
A relaxed CaPmMg2Hg4 crystal. Source: Alexandria, functional PBE.

total energy	-14.72	eV for the cell shown
Fermi-level density of states	3.91	states/eV per cell
symmetry	No. 166
total magnetization	0.000	μB/cell

Geometry as POSCAR:
```
CaPmMg2Hg4
1.0
-1.699 4.354 -2.083
-4.953 0.508 -1.182
-3.746 4.730 6.656
Ca Pm Hg Mg
1 1 4 2
Cartesian
0.000 0.000 0.000 Ca
-5.199 4.796 1.696 Pm
-5.775 5.967 4.612 Hg
-4.623 3.625 -1.221 Hg
-7.217 6.011 -0.404 Hg
-3.181 3.582 3.796 Hg
-2.600 2.399 0.849 Mg
-7.798 7.194 2.542 Mg
```

***

No. 7
A relaxed Ac2CoC crystal. Source: Alexandria, functional PBE.

total energy	-49.67	eV for the cell shown
Fermi-level density of states	7.69	states/eV per cell
symmetry	No. 2
total magnetization	0.000	μB/cell

Geometry as POSCAR:
```
Ac2CoC
1.0
3.060 -1.139 -1.746
-1.846 8.465 -0.867
-0.868 1.382 9.349
Ac C Co
4 2 2
Cartesian
0.308 4.096 5.656 Ac
0.038 4.612 1.080 Ac
2.549 -0.211 0.607 Ac
-2.203 8.919 6.129 Ac
1.834 1.262 -1.526 C
-1.488 7.446 8.263 C
0.041 6.876 7.389 Co
0.304 1.831 -0.653 Co
```

***

No. 8
A relaxed LiLa2Er crystal. Source: Alexandria, functional PBE.

total energy	-15.69	eV for the cell shown
Fermi-level density of states	5.62	states/eV per cell
energy relative to the lowest polymorph listed for this composition	94.7	meV per atom
symmetry	No. 166
total magnetization	0.000	μB/cell

Geometry as POSCAR:
```
LiLa2Er
1.0
3.539 0.000 0.000
1.770 3.065 0.000
1.770 1.022 12.576
La Er Li
2 1 1
Cartesian
5.309 3.065 3.376 La
1.770 1.022 9.200 La
3.539 2.044 6.288 Er
0.000 0.000 0.000 Li
```

***

No. 9
A relaxed TbDyPt crystal. Source: Alexandria, functional PBE.

total energy	-35.36	eV for the cell shown
Fermi-level density of states	4.30	states/eV per cell
energy relative to the lowest polymorph listed for this composition	63.6	meV per atom
symmetry	No. 63
total magnetization	0.000	μB/cell

Geometry as POSCAR:
```
TbDyPt
1.0
3.555 0.000 -0.756
0.000 5.156 0.000
-0.122 0.000 8.165
Pt Dy Tb
2 2 2
Cartesian
2.031 1.289 0.815 Pt
1.402 3.867 6.594 Pt
2.710 3.867 4.010 Dy
0.723 1.289 3.400 Dy
0.239 3.867 1.126 Tb
3.194 1.289 6.284 Tb
```

***

No. 10
A relaxed Pr4InRu crystal. Source: Alexandria, functional PBE.

total energy	-132.03	eV for the cell shown
Fermi-level density of states	17.53	states/eV per cell
energy relative to the lowest polymorph listed for this composition	0.0	meV per atom
symmetry	No. 216
total magnetization	0.000	μB/cell

Geometry as POSCAR:
```
Pr4InRu
1.0
8.667 0.000 5.004
2.889 8.171 5.004
0.000 0.000 10.008
Ru Pr In
4 16 4
Cartesian
7.080 5.006 7.753 Ru
5.778 1.324 10.008 Ru
3.174 5.006 10.008 Ru
7.080 5.006 12.263 Ru
10.899 7.706 15.012 Pr
4.659 3.294 8.070 Pr
6.435 4.551 15.012 Pr
7.567 1.556 13.106 Pr
2.201 1.556 10.008 Pr
8.016 3.294 10.008 Pr
9.355 6.615 10.008 Pr
7.551 7.706 13.079 Pr
5.778 6.459 10.008 Pr
7.551 7.706 16.944 Pr
9.783 4.551 13.079 Pr
7.567 1.556 6.910 Pr
3.989 6.615 13.106 Pr
4.659 3.294 11.946 Pr
9.783 4.551 16.944 Pr
3.989 6.615 6.910 Pr
2.889 4.015 5.004 In
4.748 1.385 5.004 In
1.959 1.385 6.614 In
1.959 1.385 3.394 In
```

***

No. 11
A relaxed CaCu6O8 crystal. Source: Alexandria, functional PBE.

total energy	-79.63	eV for the cell shown
Fermi-level density of states	9.99	states/eV per cell
symmetry	No. 225
total magnetization	0.001	μB/cell
uncorrected formation energy	-13.39	eV/f.u.

Geometry as POSCAR:
```
CaCu6O8
1.0
6.551 0.000 0.000
3.276 5.674 0.000
3.276 1.891 5.349
O Cu Ca
8 6 1
Cartesian
11.195 6.464 4.571 O
8.458 6.464 4.571 O
1.907 1.101 0.779 O
3.276 1.891 3.013 O
9.827 4.093 4.571 O
3.276 3.471 0.779 O
4.644 1.101 0.779 O
9.827 5.674 2.336 O
4.913 2.837 0.000 Cu
3.276 3.782 2.675 Cu
1.638 0.946 2.675 Cu
4.913 0.946 2.675 Cu
1.638 2.837 0.000 Cu
3.276 0.000 0.000 Cu
0.000 0.000 0.000 Ca
```

***

No. 12
A relaxed KCd2Au2 crystal. Source: Alexandria, functional PBE.

total energy	-10.75	eV for the cell shown
Fermi-level density of states	2.04	states/eV per cell
energy relative to the lowest polymorph listed for this composition	0.0	meV per atom
symmetry	No. 139
total magnetization	0.000	μB/cell

Geometry as POSCAR:
```
KCd2Au2
1.0
-2.019 -1.495 3.861
-0.538 -4.165 -1.894
4.238 -4.551 3.202
Cd Au K
2 2 1
Cartesian
1.210 -5.773 1.145 Cd
0.470 -4.438 4.023 Cd
-0.055 -3.212 1.476 Au
1.735 -6.999 3.693 Au
0.000 0.000 0.000 K
```